Tb3BiS6: optimized geometry, PBE-GGA.

Final energy   -117.6 eV/cell
Excess energy over the best structure of this formula in the dataset   0.00 eV per formula unit

Geometry as CIF:
```
data_Tb3BiS6
_chemical_formula_sum 'Tb6 Bi2 S12'
_space_group_name_H-M_alt 'P 1 21/m 1'
_space_group_IT_number 11
_cell_length_a 11.208
_cell_length_b 4.036
_cell_length_c 11.409
_cell_angle_alpha 90.00
_cell_angle_beta 108.90
_cell_angle_gamma 90.00
loop_
_space_group_symop_operation_xyz
'x,y,z'
'-x,-y,-z'
'-x,y+1/2,-z'
'x,-y+1/2,z'
loop_
_atom_site_label
_atom_site_type_symbol
_atom_site_fract_x
_atom_site_fract_y
_atom_site_fract_z
Tb1 Tb 0.069 0.250 0.166
Tb2 Tb 0.172 0.750 0.498
Tb3 Tb 0.339 0.250 0.918
Bi1 Bi 0.471 0.250 0.315
S1 S 0.019 0.250 0.386
S2 S 0.102 0.250 0.936
S3 S 0.235 0.750 0.279
S4 S 0.305 0.750 0.746
S5 S 0.386 0.250 0.533
S6 S 0.418 0.750 0.090
```